A plane-wave DFT calculation with PBE was carried out for an optimized crystal structure of ReTe2PbI.

Lattice parameters (Å, degrees): 5.2198 5.2198 5.7194 90.00 90.00 90.00
Space group P4/mmm (No. 123)
Asymmetric unit:
1 Re 0.0000 0.0000 0.0000
2 Te 0.0000 0.5000 0.0000
3 Pb 0.5000 0.5000 0.5000
4 I 0.0000 0.0000 0.5000

Calculated values
Polymorph energy (0 for the lowest one): 0 meV per atom

A plane-wave DFT calculation with PBE was carried out for an optimized crystal structure of Mn2AlP.

Lattice parameters (Å, degrees): 7.8909 2.8080 4.4831 90.00 100.74 90.00
Space group C2/m (No. 12)
Asymmetric unit:
1 Mn 0.2439 0.0000 0.2286
2 Al 0.0000 0.0000 0.5000
3 P 0.0000 0.5000 0.0000

Calculated values
ΔH_f (0 K): -144 meV/atom
Polymorph energy (0 for the lowest one): 163 meV per atom

A plane-wave DFT calculation with PBE was carried out for an optimized crystal structure of MgIn4Pd2.

Lattice parameters (Å, degrees): 4.5048 4.5048 27.8003 90.00 90.00 120.00
Space group R-3m (No. 166, hexagonal axes)
Asymmetric unit:
1 Mg 0.0000 0.0000 0.0000
2 In 0.0000 0.0000 0.2000
3 In 0.0000 0.0000 0.3955
4 Pd 0.0000 0.0000 0.0974

Calculated values
ΔH_f (0 K): -326 meV/atom

A plane-wave DFT calculation with PBE was carried out for an optimized crystal structure of Li4Ce3Pb4.

Lattice parameters (Å, degrees): 4.7821 7.3629 15.5378 90.00 90.00 90.00
Space group Immm (No. 71)
Asymmetric unit:
1 Li 0.0000 0.1877 0.1727
2 Ce 0.0000 0.0000 0.3721
3 Ce 0.0000 0.5000 0.5000
4 Pb 0.0000 0.2935 0.0000
5 Pb 0.0000 0.5000 0.2849

Calculated values
ΔH_f (0 K): -412 meV/atom

A plane-wave DFT calculation with PBE was carried out for an optimized crystal structure of In2CoNi.

Lattice parameters (Å, degrees): 9.8147 3.0611 4.4715 90.00 107.75 90.00
Space group Cm (No. 8)
Asymmetric unit:
1 In 0.0000 0.0000 0.0000
2 In 0.2191 0.0000 0.6348
3 Co 0.2508 0.5000 0.1555
4 Ni 0.4648 0.0000 0.4737

Calculated values
ΔH_f (0 K): 111 meV/atom
Polymorph energy (0 for the lowest one): 86 meV per atom

A plane-wave DFT calculation with PBE was carried out for an optimized crystal structure of CoTc2Os.

Lattice parameters (Å, degrees): 6.0589 6.0589 6.0589 90.00 90.00 90.00
Space group Fm-3m (No. 225)
Asymmetric unit:
1 Co 0.0000 0.0000 0.0000
2 Tc 0.2500 0.2500 0.2500
3 Os 0.0000 0.0000 0.5000

Calculated values
ΔH_f (0 K): 374 meV/atom
Polymorph energy (0 for the lowest one): 411 meV per atom

| no. | electronic total energy (eV for the cell shown) |
| --- | --- |
| 1 | -21.282 |
| 2 | -56.136 |
| 3 | -75.645 |
| 4 | -89.645 |
| 5 | -35.838 |
| 6 | -150.292 |